Density functional theory data (GGA-PBE) for an optimized crystal structure of RbNb3P.

The space group is Pm-3m (No. 221) and the conventional cell measures 4.803, 4.803 and 4.803 Å, with angles of 90.00, 90.00 and 90.00 degrees. The inequivalent atoms are Rb at (0.000, 0.000, 0.000), Nb at (0.000, 0.000, 0.500) and P at (0.500, 0.500, 0.500).

Its energy of formation is 2.888 eV per atom. The value obtained for the total moment is 0.00 μB/cell. The relative energy among the computed polymorphs comes out at 2.0039 eV per atom.